No. 1
{
  "formula": "Cs3DyI6",
  "functional": "PBE",
  "state": "relaxed",
  "m_tot_mub_per_cell": 0.0,
  "spacegroup": "P2_1/c",
  "final_energy_ev_per_atom": -3.1613,
  "cell": [[9.0097, 0.0000, 0.0000], [0.0000, 9.6093, 0.0000], [-8.6718, 0.0000, 12.8237]],
  "species": ["Cs", "Cs", "Cs", "Cs", "Cs", "Cs", "Dy", "Dy", "I", "I", "I", "I", "I", "I", "I", "I", "I", "I", "I", "I"],
  "frac_coords": [[0.5000, 0.5000, 0.0000], [0.7125, 0.9231, 0.2438], [0.2875, 0.4231, 0.2562], [0.5000, 0.0000, 0.5000], [0.7125, 0.5769, 0.7438], [0.2875, 0.0769, 0.7562], [0.0000, 0.0000, 0.0000], [0.0000, 0.5000, 0.5000], [0.3228, 0.1723, 0.0497], [0.2300, 0.7360, 0.0706], [0.0985, 0.0479, 0.2204], [0.9015, 0.5479, 0.2796], [0.7700, 0.2360, 0.4294], [0.6772, 0.6723, 0.4503], [0.3228, 0.3277, 0.5497], [0.2300, 0.7640, 0.5706], [0.0985, 0.4521, 0.7204], [0.9015, 0.9521, 0.7796], [0.7700, 0.2640, 0.9294], [0.6772, 0.8277, 0.9503]]
}

=====

No. 2
{
  "formula": "DyScPbC",
  "functional": "PBE",
  "state": "relaxed",
  "m_tot_mub_per_cell": 0.0,
  "polymorph_energy_mev_per_atom": 1.1,
  "spacegroup": "P-6m2",
  "cell": [[3.5192, 0.0000, 0.0000], [-1.7596, 3.0477, 0.0000], [0.0000, 0.0000, 15.6888]],
  "species": ["C", "C", "Dy", "Dy", "Pb", "Pb", "Sc", "Sc"],
  "frac_coords": [[0.0000, 0.0000, 0.2389], [0.0000, 0.0000, 0.7611], [0.3333, 0.6667, 0.3251], [0.3333, 0.6667, 0.6749], [0.3333, 0.6667, 0.0000], [0.6667, 0.3333, 0.5000], [0.6667, 0.3333, 0.1639], [0.6667, 0.3333, 0.8361]]
}

=====

No. 3
{
  "formula": "SrB2Ir2",
  "functional": "PBE",
  "state": "relaxed",
  "m_tot_mub_per_cell": 0.0,
  "spacegroup": "Fddd",
  "final_energy_ev_per_atom": -7.1708,
  "cell": [[0.0000, 4.7265, 5.3891], [3.0469, 0.0000, 5.3891], [3.0469, 4.7265, 0.0000]],
  "species": ["B", "B", "B", "B", "Ir", "Ir", "Ir", "Ir", "Sr", "Sr"],
  "frac_coords": [[0.3256, 0.6744, 0.3256], [0.5756, 0.9244, 0.5756], [0.6744, 0.3256, 0.6744], [0.9244, 0.5756, 0.9244], [0.6307, 0.6307, 0.3693], [0.8807, 0.8807, 0.6193], [0.3693, 0.3693, 0.6307], [0.6193, 0.6193, 0.8807], [0.0000, 0.0000, 0.0000], [0.2500, 0.2500, 0.2500]]
}

=====

No. 4
{
  "formula": "AgBi2",
  "functional": "PBE",
  "state": "relaxed",
  "polymorph_energy_mev_per_atom": 373.2,
  "spacegroup": "Fd-3m",
  "cell": [[0.0000, 4.5393, 4.5393], [4.5393, 0.0000, 4.5393], [4.5393, 4.5393, 0.0000]],
  "species": ["Ag", "Ag", "Bi", "Bi", "Bi", "Bi"],
  "frac_coords": [[0.0000, 0.0000, 0.0000], [0.2500, 0.2500, 0.2500], [0.6250, 0.6250, 0.1250], [0.6250, 0.1250, 0.6250], [0.1250, 0.6250, 0.6250], [0.6250, 0.6250, 0.6250]]
}